1.
DFT (GGA-PBE) results for a relaxed ZnMoIr2 crystal.

```
data_ZnMoIr2
_chemical_formula_sum 'Zn1 Mo1 Ir2'
_cell_length_a 2.8367
_cell_length_b 2.8367
_cell_length_c 7.2666
_cell_angle_alpha 90.00
_cell_angle_beta 90.00
_cell_angle_gamma 90.00
_space_group_name_H-M_alt 'P 4/m m m'
_space_group_IT_number 123
_space_group_name_Hall '-P 4 2'
loop_
_atom_site_label
_atom_site_fract_x
_atom_site_fract_y
_atom_site_fract_z
_atom_site_occupancy
Zn1 0.0000 0.0000 0.0000 1
Mo1 0.0000 0.0000 0.5000 1
Ir1 0.5000 0.5000 0.2482 1
```

---

2.
DFT (GGA-PBE) results for a relaxed ZnMoIr2 crystal.

```
data_ZnMoIr2
_chemical_formula_sum 'Zn2 Mo2 Ir4'
_cell_length_a 3.7802
_cell_length_b 3.7802
_cell_length_c 8.2184
_cell_angle_alpha 90.00
_cell_angle_beta 90.00
_cell_angle_gamma 90.00
_space_group_name_H-M_alt 'I -4 m 2'
_space_group_IT_number 119
_space_group_name_Hall 'I -4 -2'
loop_
_atom_site_label
_atom_site_fract_x
_atom_site_fract_y
_atom_site_fract_z
_atom_site_occupancy
Zn1 0.0000 0.0000 0.0000 1
Mo1 0.0000 0.5000 0.7500 1
Ir1 0.0000 0.0000 0.5000 1
Ir2 0.0000 0.5000 0.2500 1
```

---

no.,DFT formation energy (meV/atom)
1,-301
2,-89